1.
Entry from the Alexandria database: DyEr after structural relaxation (GGA-PBE).

Properties
As for the crystal system: orthorhombic. The final energy comes out at -18.3 eV per cell. The calculation puts the energy relative to the lowest polymorph listed for this composition at 0.000 eV/atom. For the energy relative to the elements, the calculation gives 0 kJ per mole of atoms.

a = 5.571 Å, b = 3.598 Å, c = 6.230 Å
α = 90.00°, β = 90.00°, γ = 90.00°
Space group Pmma (No. 51)
Unique sites:
Dy1 0.250 0.000 0.168
Er1 0.250 0.500 0.667

***

2.
Entry from the Alexandria database: CePmGaRh after structural relaxation (GGA-PBE).

Properties
As for the crystal system: cubic. The final energy comes out at -92.5 eV per cell. The calculation puts the energy relative to the lowest polymorph listed for this composition at 0.153 eV/atom. For the energy relative to the elements, the calculation gives -50 kJ per mole of atoms.

a = 7.172 Å, b = 7.172 Å, c = 7.172 Å
α = 90.00°, β = 90.00°, γ = 90.00°
Space group F-43m (No. 216)
Unique sites:
Ce1 0.000 0.000 0.000
Pm1 0.000 0.000 0.500
Ga1 0.250 0.250 0.250
Rh1 0.250 0.250 0.750

***

3.
Entry from the Alexandria database: Pm2NiAuC after structural relaxation (GGA-PBE).

Properties
As for the crystal system: tetragonal. The final energy comes out at -30.2 eV per cell. For the energy relative to the elements, the calculation gives -46 kJ per mole of atoms.

a = 5.201 Å, b = 5.201 Å, c = 3.676 Å
α = 90.00°, β = 90.00°, γ = 90.00°
Space group P4/mmm (No. 123)
Unique sites:
Pm1 0.000 0.500 0.000
Ni1 0.000 0.000 0.500
Au1 0.500 0.500 0.500
C1 0.000 0.000 0.000

***

4.
Entry from the Alexandria database: Y4Tl5In after structural relaxation (GGA-PBE).

Properties
As for the crystal system: orthorhombic. The final energy comes out at -82.3 eV per cell. The calculation puts the energy relative to the lowest polymorph listed for this composition at 0.261 eV/atom. For the energy relative to the elements, the calculation gives -7 kJ per mole of atoms.

a = 7.617 Å, b = 10.287 Å, c = 7.741 Å
α = 90.00°, β = 90.00°, γ = 90.00°
Space group Pmmn (No. 59, origin choice 2)
Unique sites:
Y1 0.001 0.250 0.201
Y2 0.250 0.064 0.520
Tl1 0.052 0.557 0.185
Tl2 0.250 0.250 0.885
In1 0.250 0.750 0.471

***

5.
Entry from the Alexandria database: PuTi2Sb2 after structural relaxation (GGA-PBE).

Properties
As for the crystal system: monoclinic. The uncorrected formation energy is -0.20 eV per atom. The final energy comes out at -157.6 eV per cell.

a = 9.197 Å, b = 11.648 Å, c = 5.480 Å
α = 90.00°, β = 126.44°, γ = 90.00°
Space group C2/c (No. 15)
Unique sites:
Pu1 0.000 0.083 0.250
Ti1 0.182 0.419 0.934
Sb1 0.000 0.203 0.750
Sb2 0.000 0.371 0.250

***

6.
Entry from the Alexandria database: Si2HgBr after structural relaxation (GGA-PBE).

Properties
As for the crystal system: tetragonal. The uncorrected formation energy is 0.71 eV per atom. The final energy comes out at -39.9 eV per cell. The calculation puts the energy relative to the lowest polymorph listed for this composition at 0.562 eV/atom.

a = 5.982 Å, b = 5.982 Å, c = 12.999 Å
α = 90.00°, β = 90.00°, γ = 90.00°
Space group I-42d (No. 122)
Unique sites:
Si1 0.213 0.250 0.125
Hg1 0.000 0.000 0.000
Br1 0.000 0.000 0.500

***

7.
Entry from the Alexandria database: CaSmHgPt after structural relaxation (GGA-PBE).

Properties
As for the crystal system: tetragonal. The final energy comes out at -16.2 eV per cell. The calculation puts the energy relative to the lowest polymorph listed for this composition at 0.000 eV/atom. For the energy relative to the elements, the calculation gives -76 kJ per mole of atoms.

a = 3.620 Å, b = 3.620 Å, c = 7.577 Å
α = 90.00°, β = 90.00°, γ = 90.00°
Space group P4mm (No. 99)
Unique sites:
Ca1 0.000 0.000 0.000
Sm1 0.000 0.000 0.452
Hg1 0.500 0.500 0.727
Pt1 0.500 0.500 0.250

***

8.
Entry from the Alexandria database: YPu2TcN4 after structural relaxation (GGA-PBE).

Properties
As for the crystal system: orthorhombic. The uncorrected formation energy is -0.97 eV per atom. The final energy comes out at -346.3 eV per cell.

a = 3.305 Å, b = 11.698 Å, c = 11.538 Å
α = 90.00°, β = 90.00°, γ = 90.00°
Space group Cmcm (No. 63)
Unique sites:
Y1 0.000 0.118 0.250
Pu1 0.000 0.368 0.049
Tc1 0.000 0.144 0.750
N1 0.000 0.000 0.000
N2 0.000 0.270 0.624
N3 0.000 0.468 0.250

***

9.
Entry from the Alexandria database: Mg4CdCu after structural relaxation (GGA-PBE).

Properties
As for the crystal system: monoclinic. The final energy comes out at -23.5 eV per cell. The calculation puts the energy relative to the lowest polymorph listed for this composition at 0.000 eV/atom. For the energy relative to the elements, the calculation gives -6 kJ per mole of atoms.

a = 5.114 Å, b = 6.064 Å, c = 7.993 Å
α = 90.00°, β = 99.53°, γ = 90.00°
Space group P2_1/m (No. 11)
Unique sites:
Mg1 0.155 0.250 0.058
Mg2 0.220 0.750 0.354
Mg3 0.312 0.510 0.749
Cd1 0.216 0.250 0.426
Cu1 0.363 0.750 0.039

***

10.
Entry from the Alexandria database: PrGaNiRh3 after structural relaxation (GGA-PBE).

Properties
As for the crystal system: orthorhombic. The final energy comes out at -148.8 eV per cell. For the energy relative to the elements, the calculation gives -25 kJ per mole of atoms.

a = 6.174 Å, b = 11.962 Å, c = 5.688 Å
α = 90.00°, β = 90.00°, γ = 90.00°
Space group Cmcm (No. 63)
Unique sites:
Pr1 0.000 0.208 0.250
Ga1 0.000 0.145 0.750
Ni1 0.000 0.423 0.250
Rh1 0.000 0.355 0.750
Rh2 0.214 0.000 0.000

***

11.
Entry from the Alexandria database: TaReSi after structural relaxation (GGA-PBE).

Properties
As for the crystal system: orthorhombic. The uncorrected formation energy is -0.07 eV per atom. The final energy comes out at -119.7 eV per cell.

a = 3.281 Å, b = 4.628 Å, c = 12.143 Å
α = 90.00°, β = 90.00°, γ = 90.00°
Space group Fmm2 (No. 42)
Unique sites:
Ta1 0.000 0.000 0.000
Re1 0.000 0.000 0.682
Si1 0.000 0.000 0.335

***

12.
Entry from the Alexandria database: Ba12H2Pb5 after structural relaxation (GGA-PBE).

Properties
As for the crystal system: monoclinic. The final energy comes out at -110.8 eV per cell.

a = 18.359 Å, b = 9.218 Å, c = 11.456 Å
α = 90.00°, β = 108.65°, γ = 90.00°
Space group C2/m (No. 12)
Unique sites:
Ba1 0.006 0.000 0.298
Ba2 0.137 0.500 0.304
Ba3 0.145 0.225 0.047
Ba4 0.147 0.248 0.600
H1 0.000 0.152 0.500
Pb1 0.000 0.500 0.000
Pb2 0.203 0.000 0.370
Pb3 0.209 0.000 0.843

***

13.
Entry from the Alexandria database: SbTe2Pt after structural relaxation (GGA-PBE).

Properties
As for the crystal system: tetragonal. The uncorrected formation energy is -0.01 eV per atom. The final energy comes out at -33.0 eV per cell.

a = 5.942 Å, b = 5.942 Å, c = 5.813 Å
α = 90.00°, β = 90.00°, γ = 90.00°
Space group I4/mmm (No. 139)
Unique sites:
Sb1 0.000 0.000 0.000
Te1 0.000 0.500 0.000
Pt1 0.000 0.000 0.500

***

14.
Entry from the Alexandria database: TlCdHgGe after structural relaxation (GGA-PBE).

Properties
As for the crystal system: cubic. The final energy comes out at -29.2 eV per cell. For the energy relative to the elements, the calculation gives 22 kJ per mole of atoms.

a = 7.355 Å, b = 7.355 Å, c = 7.355 Å
α = 90.00°, β = 90.00°, γ = 90.00°
Space group F-43m (No. 216)
Unique sites:
Tl1 0.000 0.000 0.000
Cd1 0.000 0.000 0.500
Hg1 0.250 0.250 0.750
Ge1 0.250 0.250 0.250

***

15.
Entry from the Alexandria database: Er4As3Se after structural relaxation (GGA-PBE).

Properties
As for the crystal system: cubic. The uncorrected formation energy is -1.61 eV per atom. The final energy comes out at -48.6 eV per cell. The calculation puts the energy relative to the lowest polymorph listed for this composition at 0.010 eV/atom.

a = 5.756 Å, b = 5.756 Å, c = 5.756 Å
α = 90.00°, β = 90.00°, γ = 90.00°
Space group Pm-3m (No. 221)
Unique sites:
Er1 0.000 0.000 0.000
Er2 0.000 0.500 0.500
As1 0.000 0.000 0.500
Se1 0.500 0.500 0.500

***

16.
Entry from the Alexandria database: RbCd2In8 after structural relaxation (GGA-PBE).

Properties
As for the crystal system: tetragonal. The final energy comes out at -24.4 eV per cell. The calculation puts the energy relative to the lowest polymorph listed for this composition at 0.000 eV/atom. For the energy relative to the elements, the calculation gives 3 kJ per mole of atoms.

a = 5.431 Å, b = 5.431 Å, c = 12.278 Å
α = 90.00°, β = 90.00°, γ = 90.00°
Space group P4/mmm (No. 123)
Unique sites:
Rb1 0.000 0.000 0.000
Cd1 0.000 0.000 0.364
In1 0.000 0.500 0.226
In2 0.000 0.500 0.500
In3 0.500 0.500 0.365

***

17.
Entry from the Alexandria database: ScSi2As after structural relaxation (GGA-PBE).

Properties
As for the crystal system: tetragonal. The uncorrected formation energy is -0.24 eV per atom. The final energy comes out at -22.8 eV per cell.

a = 3.556 Å, b = 3.556 Å, c = 5.478 Å
α = 90.00°, β = 90.00°, γ = 90.00°
Space group P4mm (No. 99)
Unique sites:
Sc1 0.000 0.000 0.000
Si1 0.000 0.000 0.491
Si2 0.500 0.500 0.296
As1 0.500 0.500 0.768

***

18.
Entry from the Alexandria database: DyBr2 after structural relaxation (GGA-PBE).

Properties
As for the crystal system: tetragonal. The uncorrected formation energy is -1.50 eV per atom. The final energy comes out at -24.9 eV per cell.

a = 7.281 Å, b = 7.281 Å, c = 3.648 Å
α = 90.00°, β = 90.00°, γ = 90.00°
Space group P4_2/mnm (No. 136)
Unique sites:
Dy1 0.000 0.000 0.000
Br1 0.218 0.218 0.500

***

19.
Entry from the Alexandria database: ZrFe2P after structural relaxation (GGA-PBE).

Properties
As for the crystal system: tetragonal. The final energy comes out at -32.0 eV per cell. For the energy relative to the elements, the calculation gives -26 kJ per mole of atoms.

a = 3.020 Å, b = 3.020 Å, c = 6.188 Å
α = 90.00°, β = 90.00°, γ = 90.00°
Space group P4mm (No. 99)
Unique sites:
Zr1 0.000 0.000 0.000
Fe1 0.000 0.000 0.515
Fe2 0.500 0.500 0.300
P1 0.500 0.500 0.684

***

20.
Entry from the Alexandria database: Pr2DyAl4Au3 after structural relaxation (GGA-PBE).

Properties
As for the crystal system: tetragonal. The final energy comes out at -45.2 eV per cell. For the energy relative to the elements, the calculation gives -60 kJ per mole of atoms.

a = 4.374 Å, b = 4.374 Å, c = 11.740 Å
α = 90.00°, β = 90.00°, γ = 90.00°
Space group P-4m2 (No. 115)
Unique sites:
Pr1 0.000 0.500 0.232
Dy1 0.000 0.000 0.500
Al1 0.000 0.000 0.000
Al2 0.000 0.500 0.667
Al3 0.500 0.500 0.000
Au1 0.000 0.500 0.880
Au2 0.500 0.500 0.500